w:
A relaxed structure of NdTmPt. Source: Alexandria, functional PBE-GGA.

Unit cell a=6.9569 b=6.9569 c=6.9569 alpha=90.00 beta=90.00 gamma=90.00
Space group F-43m (No. 216)
Asymmetric unit:
Nd (0.0000, 0.0000, 0.0000) [4 per cell]
Tm (0.0000, 0.0000, 0.5000) [4 per cell]
Pt (0.2500, 0.2500, 0.7500) [4 per cell]

Calculated values
**Theoretical density**: 10.027 g/cm³

=====

x:
A relaxed structure of NdTmPt. Source: Alexandria, functional PBE-GGA.

Unit cell a=6.6892 b=7.2036 c=7.1327 alpha=90.00 beta=96.06 gamma=90.00
Space group P2_1/c (No. 14)
Asymmetric unit:
Nd (0.0770, 0.2374, 0.0030) [4 per cell]
Tm (0.4081, 0.6219, 0.2021) [4 per cell]
Pt (0.2217, 0.5542, 0.8075) [4 per cell]

Calculated values
**Theoretical density**: 9.878 g/cm³

=====

y:
A relaxed structure of NdTmPt. Source: Alexandria, functional PBE-GGA.

Unit cell a=4.7205 b=4.7566 c=7.1871 alpha=90.00 beta=95.70 gamma=90.00
Space group P2_1/m (No. 11)
Asymmetric unit:
Nd (0.2373, 0.2500, 0.3822) [2 per cell]
Tm (0.2603, 0.7500, 0.0034) [2 per cell]
Pt (0.1925, 0.2500, 0.7768) [2 per cell]

Calculated values
**Theoretical density**: 10.512 g/cm³

=====

Stability check: which of them is most stable? y.

=====

w:
A relaxed structure of NdTmPt2. Source: Alexandria, functional PBE-GGA.

Unit cell a=7.0712 b=7.0712 c=7.0712 alpha=90.00 beta=90.00 gamma=90.00
Space group Fm-3m (No. 225)
Asymmetric unit:
Nd (0.0000, 0.0000, 0.0000) [4 per cell]
Tm (0.0000, 0.0000, 0.5000) [4 per cell]
Pt (0.2500, 0.2500, 0.2500) [8 per cell]

Calculated values
**Theoretical density**: 13.213 g/cm³

=====

x:
A relaxed structure of NdTmPt2. Source: Alexandria, functional PBE-GGA.

Unit cell a=3.8182 b=4.5114 c=5.6671 alpha=90.00 beta=109.77 gamma=90.00
Space group Pm (No. 6)
Asymmetric unit:
Nd (0.0000, 0.0000, 0.0000) [1 per cell]
Tm (0.7247, 0.5000, 0.4497) [1 per cell]
Pt (0.2718, 0.0000, 0.5438) [1 per cell]
Pt (0.4470, 0.5000, 0.8943) [1 per cell]

Calculated values
**Theoretical density**: 12.714 g/cm³

=====

y:
A relaxed structure of NdTmPt2. Source: Alexandria, functional PBE-GGA.

Unit cell a=4.1214 b=4.1214 c=19.9887 alpha=90.00 beta=90.00 gamma=120.00
Space group R-3m (No. 166, hexagonal axes)
Asymmetric unit:
Nd (0.0000, 0.0000, 0.0000) [3 per cell]
Tm (0.0000, 0.0000, 0.5000) [3 per cell]
Pt (0.0000, 0.0000, 0.2440) [6 per cell]

Calculated values
**Theoretical density**: 11.916 g/cm³

=====

z:
A relaxed structure of NdTmPt2. Source: Alexandria, functional PBE-GGA.

Unit cell a=3.5114 b=3.5114 c=7.1274 alpha=90.00 beta=90.00 gamma=90.00
Space group P4/mmm (No. 123)
Asymmetric unit:
Nd (0.0000, 0.0000, 0.0000) [1 per cell]
Tm (0.0000, 0.0000, 0.5000) [1 per cell]
Pt (0.5000, 0.5000, 0.2724) [2 per cell]

Calculated values
**Theoretical density**: 13.290 g/cm³

=====

Stability check: which of them is most stable? x.